DFT (PBE) results for Tb2Pm5DyEr after structural relaxation. Values from VASP.

Geometry as Quantum ESPRESSO input:
```
&SYSTEM
  ibrav = 0, nat = 18, ntyp = 4
/
ATOMIC_SPECIES
Pm 145.00 Pm.upf
Dy 162.50 Dy.upf
Tb 158.93 Tb.upf
Er 167.26 Er.upf
CELL_PARAMETERS angstrom
5.639 0.000 0.000
-2.819 10.146 0.000
0.000 0.000 10.672
ATOMIC_POSITIONS angstrom
Pm 2.819 4.464 8.656
Pm 2.819 0.367 2.594
Pm 2.819 4.101 2.203
Pm 0.000 7.843 0.236
Pm 0.000 5.682 3.320
Pm 0.000 9.779 7.930
Pm 2.819 9.813 5.537
Pm 0.000 0.332 0.201
Pm 0.000 6.045 7.539
Pm 2.819 2.303 5.572
Dy 0.000 4.043 0.110
Dy 2.819 6.103 5.446
Tb 0.000 2.334 3.342
Tb 2.819 7.875 2.534
Tb 0.000 2.271 7.870
Tb 2.819 7.812 8.678
Er 2.819 1.853 10.262
Er 0.000 8.293 4.926
```

Output
DOS at the Fermi energy	1.5845	states/eV/atom
V	33.920	Å³/atom
formation energy	0.14	eV/atom
calculated total energy	-40.9	eV/f.u.
crystal system	orthorhombic



DFT (PBE) results for Tb2Pm4Dy2Er after structural relaxation. Values from VASP.

Geometry as Quantum ESPRESSO input:
```
&SYSTEM
  ibrav = 0, nat = 9, ntyp = 4
/
ATOMIC_SPECIES
Dy 162.50 Dy.upf
Pm 145.00 Pm.upf
Tb 158.93 Tb.upf
Er 167.26 Er.upf
CELL_PARAMETERS angstrom
-3.568 3.614 -0.018
0.754 -2.860 -7.471
-4.968 -4.886 3.967
ATOMIC_POSITIONS angstrom
Dy -0.687 -0.703 -4.986
Dy -7.095 -3.429 1.465
Pm -5.673 -2.040 -1.512
Pm -2.109 -2.092 -2.010
Pm -4.238 -4.204 -4.012
Pm -3.544 0.072 0.490
Tb -3.554 -3.504 0.989
Tb -4.228 -0.628 -4.511
Er 0.000 0.000 0.000
```

Output
DOS at the Fermi energy	1.4666	states/eV/atom
V	32.707	Å³/atom
formation energy	0.02	eV/atom
calculated total energy	-41.9	eV/f.u.
crystal system	monoclinic



DFT (PBE) results for TbPm2Dy4Er after structural relaxation. Values from VASP.

Geometry as Quantum ESPRESSO input:
```
&SYSTEM
  ibrav = 0, nat = 16, ntyp = 4
/
ATOMIC_SPECIES
Dy 162.50 Dy.upf
Er 167.26 Er.upf
Pm 145.00 Pm.upf
Tb 158.93 Tb.upf
CELL_PARAMETERS angstrom
9.350 -0.023 -1.708
-0.030 9.350 -1.708
-5.947 -5.951 8.269
ATOMIC_POSITIONS angstrom
Dy -0.627 -0.605 3.261
Dy 7.043 2.287 -1.702
Dy -0.624 3.993 2.421
Dy 4.000 3.981 1.592
Dy -3.670 1.089 6.556
Dy 3.998 -0.617 2.433
Dy 2.292 2.315 -0.834
Dy 1.082 1.061 5.688
Er 3.403 -5.974 6.561
Er 1.687 1.688 2.427
Pm 4.660 4.663 -1.708
Pm -2.973 -2.976 4.135
Pm 4.675 -0.011 -0.854
Pm 1.702 -2.987 3.281
Tb 6.362 1.676 1.573
Tb -0.015 4.675 -0.854
```

Output
DOS at the Fermi energy	2.1978	states/eV/atom
V	33.274	Å³/atom
formation energy	0.43	eV/atom
calculated total energy	-33.7	eV/f.u.
crystal system	monoclinic



DFT (PBE) results for Tb2PmDy4Er after structural relaxation. Values from VASP.

Geometry as Quantum ESPRESSO input:
```
&SYSTEM
  ibrav = 0, nat = 16, ntyp = 4
/
ATOMIC_SPECIES
Dy 162.50 Dy.upf
Tb 158.93 Tb.upf
Er 167.26 Er.upf
Pm 145.00 Pm.upf
CELL_PARAMETERS angstrom
-5.436 -0.800 7.729
-1.787 -9.114 -1.916
10.123 5.849 -1.211
ATOMIC_POSITIONS angstrom
Dy 3.232 0.453 0.849
Dy -0.332 -4.518 3.753
Dy 2.361 -4.101 -0.090
Dy 0.539 0.036 4.691
Dy -2.689 -7.053 0.484
Dy -1.789 -2.471 1.470
Dy 4.689 -1.595 3.132
Dy 5.589 2.988 4.117
Tb 2.343 2.524 3.259
Tb -2.718 -0.400 3.864
Tb -3.612 -4.957 2.906
Tb 5.062 2.924 -0.606
Er 4.687 5.049 6.517
Er 1.450 -2.033 2.301
Pm -1.268 -2.433 6.165
Pm -0.893 -4.557 -0.958
```

Output
DOS at the Fermi energy	2.1483	states/eV/atom
V	33.038	Å³/atom
formation energy	0.44	eV/atom
calculated total energy	-33.5	eV/f.u.
crystal system	monoclinic



DFT (PBE) results for Tb6PmDy3Er2 after structural relaxation. Values from VASP.

Geometry as Quantum ESPRESSO input:
```
&SYSTEM
  ibrav = 0, nat = 12, ntyp = 4
/
ATOMIC_SPECIES
Tb 158.93 Tb.upf
Dy 162.50 Dy.upf
Pm 145.00 Pm.upf
Er 167.26 Er.upf
CELL_PARAMETERS angstrom
6.151 0.002 0.013
-3.073 5.328 0.013
-1.044 -1.808 11.593
ATOMIC_POSITIONS angstrom
Tb 2.051 -0.005 2.911
Tb 2.047 3.544 2.923
Tb 3.064 1.748 8.708
Tb -1.029 1.774 2.911
Tb -0.017 3.527 8.708
Tb -0.013 -0.022 8.697
Dy 4.089 -0.013 5.810
Dy 1.017 1.761 5.810
Dy -2.055 3.535 5.810
Pm 0.000 0.000 0.000
Er 0.001 3.553 0.013
Er 3.077 1.777 0.013
```

Output
DOS at the Fermi energy	1.2660	states/eV/atom
V	31.692	Å³/atom
formation energy	0.02	eV/atom
calculated total energy	-55.3	eV/f.u.
crystal system	monoclinic



DFT (PBE) results for Pm2DyErTe5 after structural relaxation. Values from VASP.

Geometry as Quantum ESPRESSO input:
```
&SYSTEM
  ibrav = 0, nat = 9, ntyp = 4
/
ATOMIC_SPECIES
Pm 145.00 Pm.upf
Dy 162.50 Dy.upf
Te 127.60 Te.upf
Er 167.26 Er.upf
CELL_PARAMETERS angstrom
-5.066 0.935 1.936
0.807 -3.767 3.931
4.179 8.181 6.983
ATOMIC_POSITIONS angstrom
Pm -0.711 1.362 5.304
Pm 0.630 3.987 7.546
Dy 0.000 0.000 0.000
Te 1.029 2.014 1.719
Te -2.130 -1.416 2.934
Te -0.444 4.558 4.460
Te 2.493 2.207 5.457
Te 3.150 6.167 5.263
Er 2.090 4.090 3.491
```

Output
DOS at the Fermi energy	0.5617	states/eV/atom
V	38.840	Å³/atom
calculated total energy	-41.4	eV/f.u.
formation energy without anion corrections	-782	meV/atom
crystal system	tetragonal



DFT (PBE) results for PmDyEr2Te6 after structural relaxation. Values from VASP.

Geometry as Quantum ESPRESSO input:
```
&SYSTEM
  ibrav = 0, nat = 10, ntyp = 4
/
ATOMIC_SPECIES
Te 127.60 Te.upf
Pm 145.00 Pm.upf
Er 167.26 Er.upf
Dy 162.50 Dy.upf
CELL_PARAMETERS angstrom
-0.871 -4.348 6.317
-0.898 -7.637 -0.666
6.372 -4.846 2.258
ATOMIC_POSITIONS angstrom
Te 0.550 -9.185 1.448
Te 3.772 -10.985 3.744
Te 4.039 -7.699 6.251
Te 0.237 -9.778 5.909
Te 4.321 -7.202 2.148
Te 0.835 -5.637 4.222
Pm 1.982 -12.444 5.852
Er 6.216 -4.827 2.249
Er 2.116 -8.393 3.944
Dy -0.361 -4.023 1.896
```

Output
V	36.233	Å³/atom
calculated total energy	-50.9	eV/f.u.
formation energy without anion corrections	-1356	meV/atom
crystal system	trigonal



DFT (PBE) results for PmDy3Er2Te6 after structural relaxation. Values from VASP.

Geometry as Quantum ESPRESSO input:
```
&SYSTEM
  ibrav = 0, nat = 12, ntyp = 4
/
ATOMIC_SPECIES
Dy 162.50 Dy.upf
Te 127.60 Te.upf
Pm 145.00 Pm.upf
Er 167.26 Er.upf
CELL_PARAMETERS angstrom
4.332 0.000 0.000
0.000 8.769 0.378
-2.166 -2.458 9.160
ATOMIC_POSITIONS angstrom
Dy 2.166 -0.216 6.277
Dy 2.166 4.384 0.189
Dy 0.000 6.527 3.261
Te 2.166 -0.063 3.179
Te 0.000 2.249 0.138
Te 2.166 4.061 9.400
Te 0.000 6.374 6.359
Te 2.166 4.284 3.313
Te 0.000 2.026 6.225
Pm 2.166 0.000 0.000
Er 2.166 4.217 6.413
Er 0.000 2.094 3.125
```

Output
DOS at the Fermi energy	0.5602	states/eV/atom
V	29.335	Å³/atom
calculated total energy	-61.9	eV/f.u.
formation energy without anion corrections	-1278	meV/atom
crystal system	monoclinic



Ordered total magnetization results: 0.00 0.00 6.25 6.87 0.00 0.51 0.00 0.00; unit μB/cell.